No. 1
Entry from OQMD via LeMat-Bulk: an optimized crystal structure of Ho2Sb (PBE).

abc: 8.0404 4.3111 9.6746
angles: 90.00 90.00 90.00
With the nearest neighbours (Å) after each atom.
Space group Pnma (No. 62)
Asymmetric unit:
Ho 0.0448 0.2500 0.1688 [4 per cell]  5 Sb 3.16-3.35, 2 Ho 3.53
Ho 0.1308 0.2500 0.5647 [4 per cell]  4 Sb 3.03-3.22, 2 Ho 3.26
Sb 0.2399 0.2500 0.8642 [4 per cell]  9 Ho 3.03-3.35



No. 2
Entry from OQMD via LeMat-Bulk: an optimized crystal structure of Ho2Sb5 (PBE).

abc: 13.1681 4.2030 14.6249
angles: 90.00 101.96 90.00
With the nearest neighbours (Å) after each atom.
Space group P2_1/m (No. 11)
Asymmetric unit:
Ho 0.0465 0.2500 0.3619 [2 per cell]  9 Sb 3.16-3.41
Ho 0.3317 0.2500 0.5777 [2 per cell]  9 Sb 3.16-3.31
Ho 0.3387 0.2500 0.8549 [2 per cell]  9 Sb 3.11-3.30
Ho 0.3921 0.7500 0.2295 [2 per cell]  9 Sb 3.09-3.33
Sb 0.0291 0.2500 0.0880 [2 per cell]  3 Sb 2.89-3.03
Sb 0.1392 0.2500 0.6780 [2 per cell]  4 Sb 3.03-3.16, 4 Ho 3.18-3.28
Sb 0.1412 0.7500 0.2212 [2 per cell]  4 Sb 3.03-3.13, 3 Ho 3.28-3.36
Sb 0.1443 0.7500 0.5176 [2 per cell]  2 Sb 3.16, 5 Ho 3.17-3.35
Sb 0.1524 0.7500 0.8292 [2 per cell]  3 Sb 2.89-3.03, 2 Ho 3.19
Sb 0.2774 0.2500 0.0628 [2 per cell]  2 Sb 2.94
Sb 0.2826 0.2500 0.3463 [2 per cell]  4 Sb 3.01-3.13, 4 Ho 3.16-3.31
Sb 0.4196 0.7500 0.0245 [2 per cell]  4 Sb 2.94-3.17, 3 Ho 3.09-3.26
Sb 0.4261 0.7500 0.4492 [2 per cell]  4 Sb 3.01-3.03, 4 Ho 3.15-3.29
Sb 0.4256 0.7500 0.7342 [2 per cell]  6 Ho 3.11-3.16



No. 3
Entry from OQMD via LeMat-Bulk: an optimized crystal structure of HoSc5Sb2 (PBE).

abc: 6.6905 6.6905 4.6612
angles: 90.00 90.00 90.00
With the nearest neighbours (Å) after each atom.
Space group P4/mmm (No. 123)
Asymmetric unit:
Ho 0.0000 0.0000 0.0000 [1 per cell]  2 Sc 2.33
Sc 0.0000 0.0000 0.5000 [1 per cell]  2 Ho 2.33
Sc 0.2813 0.2813 0.0000 [4 per cell]  1 Ho 2.66, 2 Sc 2.93
Sb 0.0000 0.5000 0.5000 [2 per cell]  10 Sc 3.33-3.35



No. 4
Entry from OQMD via LeMat-Bulk: an optimized crystal structure of Ho3Sc2Sb3 (PBE).

abc: 8.7437 8.7437 6.0729
angles: 90.00 90.00 120.00
With the nearest neighbours (Å) after each atom.
Space group P6_3/mcm (No. 193)
Asymmetric unit:
Ho 0.0000 0.2457 0.2500 [6 per cell]  5 Sb 3.02-3.30
Sc 0.3333 0.6667 0.0000 [4 per cell]  2 Sc 3.04, 6 Sb 3.09
Sb 0.0000 0.3948 0.7500 [6 per cell]  5 Ho 3.02-3.30, 4 Sc 3.09



No. 5
Entry from OQMD via LeMat-Bulk: an optimized crystal structure of SmHoSc2Sb2 (PBE).

abc: 4.3727 4.3727 16.3474
angles: 90.00 90.00 90.00
With the nearest neighbours (Å) after each atom.
Space group I4mm (No. 107)
Asymmetric unit:
Sm 0.0000 0.0000 0.0000 [2 per cell]  5 Sb 3.17-3.18
Ho 0.0000 0.0000 0.3519 [2 per cell]  5 Sb 3.18
Sc 0.0000 0.5000 0.1772 [4 per cell]  4 Sb 3.04-3.05, 4 Sc 3.09
Sb 0.0000 0.0000 0.5467 [2 per cell]  4 Sc 3.05, 1 Ho 3.18, 4 Sm 3.18
Sb 0.0000 0.0000 0.8064 [2 per cell]  4 Sc 3.04, 1 Sm 3.17, 4 Ho 3.18



No. 6
Entry from OQMD via LeMat-Bulk: an optimized crystal structure of HoZr2ScSb2 (PBE).

abc: 4.2196 4.2196 16.2647
angles: 90.00 90.00 90.00
With the nearest neighbours (Å) after each atom.
Space group I4mm (No. 107)
Asymmetric unit:
Ho 0.0000 0.0000 0.0000 [2 per cell]  5 Sb 3.03-3.05
Zr 0.0000 0.5000 0.1785 [4 per cell]  4 Zr 2.98, 4 Sb 3.05-3.09
Sc 0.0000 0.0000 0.3512 [2 per cell]  5 Sb 3.04-3.07
Sb 0.0000 0.0000 0.5398 [2 per cell]  4 Ho 3.05, 1 Sc 3.07, 4 Zr 3.09
Sb 0.0000 0.0000 0.8140 [2 per cell]  1 Ho 3.03, 4 Sc 3.04, 4 Zr 3.05



no.,VASP energy (eV for the cell shown)
1,-61.79
2,-136.72
3,-40.89
4,-92.14
5,-70.43
6,-81.56